# 1
A relaxed structure of LiSi2Se, computed with PBE-GGA.

Summary:
VASP energy   -3.929 eV per atom
Raw formation energy   132 meV per atom

Lattice parameters (Å, degrees): 5.9882 5.9882 5.9882 99.96 99.96 130.84
Element x y z (fractional)
Li 0.0000 0.0000 0.0000
Li 0.7500 0.2500 0.5000
Si 0.1467 0.6250 0.0217
Si 0.3750 0.3967 0.5217
Si 0.6033 0.1250 0.9783
Si 0.8750 0.8533 0.4783
Se 0.2500 0.7500 0.5000
Se 0.5000 0.5000 0.0000



# 2
A relaxed structure of InRhW4, computed with PBE-GGA.

Summary:
VASP energy   -9.785 eV per atom
Formation energy from the elements   0.53 eV/atom

Lattice parameters (Å, degrees): 5.3017 5.3017 5.3017 60.00 60.00 60.00
Element x y z (fractional)
In 0.0000 0.0000 0.0000
Rh 0.2500 0.2500 0.2500
W 0.1221 0.6260 0.6260
W 0.6260 0.1221 0.6260
W 0.6260 0.6260 0.1221
W 0.6260 0.6260 0.6260



# 3
A relaxed structure of U2ReNi, computed with PBE-GGA.

Summary:
VASP energy   -10.044 eV per atom
Formation energy from the elements   0.16 eV/atom

Lattice parameters (Å, degrees): 3.3659 3.3659 6.3409 90.00 90.00 90.00
Element x y z (fractional)
U 0.0000 0.0000 0.2207
U 0.0000 0.0000 0.7793
Re 0.5000 0.5000 0.5000
Ni 0.5000 0.5000 0.0000



# 4
A relaxed structure of Tm2TcPbO8, computed with PBE-GGA.

Summary:
VASP energy   -7.372 eV per atom
Raw formation energy   -2148 meV per atom

Lattice parameters (Å, degrees): 4.9504 6.7944 4.9564 90.00 91.49 90.00
Element x y z (fractional)
Tm 0.0000 0.2455 0.0000
Tm 0.0000 0.7545 0.0000
Tc 0.5000 0.0000 0.5000
Pb 0.5000 0.5000 0.5000
O 0.1896 0.5000 0.1878
O 0.2251 0.0000 0.2230
O 0.3140 0.2086 0.6840
O 0.3140 0.7914 0.6840
O 0.6860 0.2086 0.3160
O 0.6860 0.7914 0.3160
O 0.7749 0.0000 0.7770
O 0.8104 0.5000 0.8122



# 5
A relaxed structure of Li2MgIO4, computed with PBE-GGA.

Summary:
VASP energy   -4.739 eV per atom
Raw formation energy   -1389 meV per atom

Lattice parameters (Å, degrees): 5.3820 5.3820 5.3820 130.16 130.16 73.14
Element x y z (fractional)
Li 0.0000 0.0000 0.0000
Li 0.7500 0.2500 0.5000
Mg 0.2500 0.7500 0.5000
I 0.5000 0.5000 0.0000
O 0.0098 0.5098 0.5000
O 0.2559 0.2559 0.0000
O 0.4902 0.9902 0.5000
O 0.7441 0.7441 0.0000